Entry 1:
Entry from Alexandria via LeMat-Bulk: crystalline YRuF2 at its relaxed geometry (PBE-GGA).

Summary:
raw formation energy = -1.560 eV per atom
ΔE to the lowest computed polymorph = 0.000 eV/atom

Geometry as extended XYZ:
```
4
Lattice="1.895 1.094 5.553 -1.895 1.094 5.553 0.000 -2.188 5.553" Properties=species:S:1:pos:R:3 pbc="T T T"
Y 0.000 0.000 0.000
Ru 0.000 0.000 8.330
F 0.000 0.000 4.909
F 0.000 0.000 11.750
```



Entry 2:
Entry from Alexandria via LeMat-Bulk: crystalline PrSmHo2Er at its relaxed geometry (PBE-GGA).

Summary:
ΔE_f = 0.383 eV/atom

Geometry as extended XYZ:
```
10
Lattice="4.209 -5.764 0.000 4.209 5.764 0.000 0.000 0.000 7.186" Properties=species:S:1:pos:R:3 pbc="T T T"
Pr 4.209 3.109 5.390
Pr 4.209 -3.109 1.797
Sm 4.209 0.007 1.797
Sm 4.209 -0.007 5.390
Ho 1.579 0.000 0.000
Ho 1.579 0.000 3.593
Ho 6.839 0.000 0.000
Ho 6.839 0.000 3.593
Er 4.209 3.229 1.797
Er 4.209 -3.229 5.390
```



Uncorrected energy, record by record: -6.4303 -4.2603 eV per atom